Entry 1:
This record from Alexandria via LeMat-Bulk describes an optimized crystal structure of KNaTiOs2. The functional is PBE.

extended XYZ file:
```
5
Lattice="-1.716 3.361 3.046 -3.724 -2.221 0.353 1.828 -2.468 3.753" Properties=species:S:1:pos:R:3 pbc="T T T"
Os -0.858 1.680 1.523
Os 0.914 -1.234 1.876
Ti -1.806 -0.664 3.576
Na 0.000 0.000 0.000
K -1.862 -1.110 0.176
```

## Properties
Crystal system: tetragonal
E_form (eV/atom): 2.38

---

Entry 2:
This record from Alexandria via LeMat-Bulk describes an optimized crystal structure of Cs2NaTlCd. The functional is PBE.

extended XYZ file:
```
5
Lattice="-3.730 -5.607 -3.319 4.194 0.860 -6.168 3.811 -3.759 2.067" Properties=species:S:1:pos:R:3 pbc="T T T"
Na 2.138 -4.253 -3.710
Cs 2.097 0.430 -3.084
Tl 1.906 -1.879 1.034
Cs -1.865 -2.804 -1.660
Cd 0.000 0.000 0.000
```

## Properties
Crystal system: tetragonal
E_form (eV/atom): 0.10

---

Entry 3:
This record from Alexandria via LeMat-Bulk describes an optimized crystal structure of InCuP2O. The functional is PBE.

extended XYZ file:
```
5
Lattice="5.180 0.000 0.000 0.000 5.180 0.000 0.000 0.000 3.908" Properties=species:S:1:pos:R:3 pbc="T T T"
P 0.000 2.590 0.000
In 0.000 0.000 0.000
O 0.000 0.000 1.954
P 2.590 0.000 0.000
Cu 2.590 2.590 1.954
```

## Properties
Crystal system: tetragonal
Formation energy (no corrections) (meV per atom): 924
Excess energy over the best structure of this formula in the dataset (eV per atom): 0.563

---

Entry 4:
This record from Alexandria via LeMat-Bulk describes an optimized crystal structure of MgAgTe2. The functional is PBE.

extended XYZ file:
```
4
Lattice="-0.753 0.831 2.996 0.669 -3.059 0.653 9.845 2.533 1.771" Properties=species:S:1:pos:R:3 pbc="T T T"
Te 9.265 2.384 1.667
Te 2.997 -0.332 2.371
Mg 6.990 0.696 3.090
Ag 5.277 1.358 0.949
```

## Properties
Crystal system: orthorhombic
Formation energy (no corrections) (meV per atom): -46

---

Entry 5:
This record from Alexandria via LeMat-Bulk describes an optimized crystal structure of NaMnBiOs. The functional is PBE.

extended XYZ file:
```
4
Lattice="4.068 0.010 0.001 2.025 3.529 0.005 0.010 2.327 6.706" Properties=species:S:1:pos:R:3 pbc="T T T"
Bi 3.341 1.557 2.708
Mn 1.303 2.723 4.628
Na 5.366 5.078 6.690
Os 3.335 3.903 4.352
```

## Properties
Crystal system: monoclinic
E_form (eV/atom): 0.47
Excess energy over the best structure of this formula in the dataset (eV per atom): 0.052

---

Entry 6:
This record from Alexandria via LeMat-Bulk describes an optimized crystal structure of CaLaGa. The functional is PBE.

extended XYZ file:
```
6
Lattice="-0.263 3.266 -2.631 -3.966 1.966 2.838 5.140 5.608 3.298" Properties=species:S:1:pos:R:3 pbc="T T T"
Ca 0.810 4.713 3.630
La -2.371 2.640 0.623
Ca 2.918 5.504 1.158
La 0.958 1.969 0.868
Ga 4.203 8.250 1.053
Ga -0.740 5.234 1.105
```

## Properties
Crystal system: monoclinic
E_form (eV/atom): -0.32
Excess energy over the best structure of this formula in the dataset (eV per atom): 0.128